No. 1
First-principles (PBE) data for crystalline Nb2CuW at its relaxed geometry, as listed in Alexandria via LeMat-Bulk.

Structure (CIF):
```
data_Nb2CuW
_space_group_name_H-M_alt 'P 4/m m m'
_space_group_IT_number 123
_space_group_name_Hall '-P 4 2'
_cell_length_a 4.4655
_cell_length_b 4.4655
_cell_length_c 3.2869
_cell_angle_alpha 90.00
_cell_angle_beta 90.00
_cell_angle_gamma 90.00
loop_
_atom_site_label
_atom_site_type_symbol
_atom_site_fract_x
_atom_site_fract_y
_atom_site_fract_z
_atom_site_occupancy
Nb1 Nb 0.0000 0.5000 0.0000 1
Cu1 Cu 0.0000 0.0000 0.5000 1
W1 W 0.5000 0.5000 0.5000 1
```

No. 2
First-principles (PBE) data for crystalline NbCu2W at its relaxed geometry, as listed in Alexandria via LeMat-Bulk.

Structure (CIF):
```
data_NbCu2W
_space_group_name_H-M_alt 'I -4 2 d'
_space_group_IT_number 122
_space_group_name_Hall 'I -4 2bw'
_cell_length_a 7.0169
_cell_length_b 7.0169
_cell_length_c 5.0945
_cell_angle_alpha 90.00
_cell_angle_beta 90.00
_cell_angle_gamma 90.00
loop_
_atom_site_label
_atom_site_type_symbol
_atom_site_fract_x
_atom_site_fract_y
_atom_site_fract_z
_atom_site_occupancy
Nb1 Nb 0.0000 0.0000 0.0000 1
Cu1 Cu 0.2407 0.2500 0.6250 1
W1 W 0.0000 0.0000 0.5000 1
```

No. 3
First-principles (PBE) data for crystalline Nb2CuW at its relaxed geometry, as listed in Alexandria via LeMat-Bulk.

Structure (CIF):
```
data_Nb2CuW
_space_group_name_H-M_alt 'F m -3 m'
_space_group_IT_number 225
_space_group_name_Hall '-F 4 2 3'
_cell_length_a 6.4160
_cell_length_b 6.4160
_cell_length_c 6.4160
_cell_angle_alpha 90.00
_cell_angle_beta 90.00
_cell_angle_gamma 90.00
loop_
_atom_site_label
_atom_site_type_symbol
_atom_site_fract_x
_atom_site_fract_y
_atom_site_fract_z
_atom_site_occupancy
Nb1 Nb 0.2500 0.2500 0.2500 1
Cu1 Cu 0.0000 0.0000 0.0000 1
W1 W 0.0000 0.0000 0.5000 1
```

No. 4
First-principles (PBE) data for crystalline NbCuW2 at its relaxed geometry, as listed in Alexandria via LeMat-Bulk.

Structure (CIF):
```
data_NbCuW2
_space_group_name_H-M_alt 'I -4 2 d'
_space_group_IT_number 122
_space_group_name_Hall 'I -4 2bw'
_cell_length_a 7.1846
_cell_length_b 7.1846
_cell_length_c 5.2498
_cell_angle_alpha 90.00
_cell_angle_beta 90.00
_cell_angle_gamma 90.00
loop_
_atom_site_label
_atom_site_type_symbol
_atom_site_fract_x
_atom_site_fract_y
_atom_site_fract_z
_atom_site_occupancy
Nb1 Nb 0.0000 0.0000 0.0000 1
Cu1 Cu 0.0000 0.0000 0.5000 1
W1 W 0.2271 0.2500 0.6250 1
```

no.,formation energy from the elements (eV/atom)
1,0.085
2,0.700
3,0.136
4,0.915